No. 1
The following is a DFT calculation (PBE) of a relaxed Dy2AlCd3 crystal.

E_tot = -35.42 eV/cell
Relative energy among the computed polymorphs = 0.007 eV per atom
Space group = No. 69
Mass density = 8.03 g cm⁻³
Calculated formation energy = -0.336 eV per atom

Cell: 9.7040 9.1049 5.9763 Å, 77.02 66.10 36.88°
Fractional coordinates of all 12 atoms:
Dy 0.2487 0.7513 0.7513
Dy 0.2500 0.2500 0.2500
Dy 0.7500 0.7500 0.7500
Dy 0.7513 0.2487 0.2487
Al 0.3335 0.3335 0.6665
Al 0.6665 0.6665 0.3335
Cd 0.1696 0.1696 0.8304
Cd 0.1703 0.6605 0.3395
Cd 0.3395 0.8297 0.1703
Cd 0.6605 0.1703 0.8297
Cd 0.8297 0.3395 0.6605
Cd 0.8304 0.8304 0.1696

=====

No. 2
The following is a DFT calculation (PBE) of a relaxed Dy3Al2Cd2 crystal.

E_tot = -25.70 eV/cell
Space group = No. 65
Mass density = 7.54 g cm⁻³
Calculated formation energy = -0.368 eV per atom

Cell: 11.1365 11.1365 3.4970 Å, 90.00 90.00 157.11°
Fractional coordinates of all 7 atoms:
Dy 0.0000 0.0000 0.0000
Dy 0.1616 0.8384 0.0000
Dy 0.8384 0.1616 0.0000
Al 0.2819 0.7181 0.5000
Al 0.7181 0.2819 0.5000
Cd 0.4200 0.5800 0.5000
Cd 0.5800 0.4200 0.5000

=====

No. 3
The following is a DFT calculation (PBE) of a relaxed Dy8Al2Cd crystal.

E_tot = -46.64 eV/cell
Relative energy among the computed polymorphs = 0.058 eV per atom
Space group = No. 71
Mass density = 7.96 g cm⁻³
Calculated formation energy = -0.129 eV per atom

Cell: 8.7490 8.7490 8.7490 Å, 146.69 122.51 68.09°
Fractional coordinates of all 11 atoms:
Dy 0.1256 0.3400 0.7856
Dy 0.1439 0.1439 0.0000
Dy 0.3151 0.0000 0.3151
Dy 0.4456 0.6600 0.7856
Dy 0.5544 0.3400 0.2144
Dy 0.6849 0.0000 0.6849
Dy 0.8561 0.8561 0.0000
Dy 0.8744 0.6600 0.2144
Al 0.3050 0.8050 0.5000
Al 0.6950 0.1950 0.5000
Cd 0.0000 0.5000 0.5000

=====

No. 4
The following is a DFT calculation (PBE) of a relaxed Dy4Al3Cd crystal.

E_tot = -67.15 eV/cell
Relative energy among the computed polymorphs = 0.000 eV per atom
Space group = No. 51
Mass density = 7.27 g cm⁻³
Calculated formation energy = -0.378 eV per atom

Cell: 10.3045 7.2555 5.1523 Å, 90.00 90.00 90.00°
Fractional coordinates of all 16 atoms:
Dy 0.0000 0.2458 0.0000
Dy 0.0000 0.7542 0.0000
Dy 0.2500 0.2458 0.4988
Dy 0.2500 0.7542 0.4988
Dy 0.5000 0.2458 0.0000
Dy 0.5000 0.7542 0.0000
Dy 0.7500 0.2458 0.5012
Dy 0.7500 0.7542 0.5012
Al 0.0000 0.0000 0.5000
Al 0.2500 0.0000 0.9985
Al 0.2500 0.5000 0.9986
Al 0.5000 0.0000 0.5000
Al 0.7500 0.0000 0.0015
Al 0.7500 0.5000 0.0014
Cd 0.0000 0.5000 0.5000
Cd 0.5000 0.5000 0.5000

=====

No. 5
The following is a DFT calculation (PBE) of a relaxed Dy2AlCd2 crystal.

E_tot = -16.23 eV/cell
Space group = No. 65
Mass density = 7.98 g cm⁻³
Calculated formation energy = -0.291 eV per atom

Cell: 7.8476 7.8476 3.3894 Å, 90.00 90.00 144.92°
Fractional coordinates of all 5 atoms:
Dy 0.1079 0.8921 0.0000
Dy 0.8921 0.1079 0.0000
Al 0.5000 0.5000 0.5000
Cd 0.3026 0.6974 0.5000
Cd 0.6974 0.3026 0.5000

=====

No. 6
The following is a DFT calculation (PBE) of a relaxed Dy4AlCd crystal.

E_tot = -24.30 eV/cell
Relative energy among the computed polymorphs = 0.000 eV per atom
Space group = No. 12
Mass density = 7.99 g cm⁻³
Calculated formation energy = -0.206 eV per atom

Cell: 7.0922 7.0922 7.0726 Å, 104.42 104.42 28.51°
Fractional coordinates of all 6 atoms:
Dy 0.1520 0.1520 0.3330
Dy 0.1534 0.1534 0.8204
Dy 0.8466 0.8466 0.1796
Dy 0.8480 0.8480 0.6670
Al 0.5000 0.5000 0.5000
Cd 0.5000 0.5000 0.0000

=====

No. 7
The following is a DFT calculation (PBE) of a relaxed DyAlCd crystal.

E_tot = -20.78 eV/cell
Space group = No. 12
Mass density = 7.28 g cm⁻³
Calculated formation energy = -0.377 eV per atom

Cell: 5.9228 5.9228 7.2161 Å, 127.43 127.43 46.50°
Fractional coordinates of all 6 atoms:
Dy 0.0265 0.0265 0.2756
Dy 0.9735 0.9735 0.7244
Al 0.3413 0.3413 0.3183
Al 0.6587 0.6587 0.6817
Cd 0.3290 0.3290 0.8727
Cd 0.6710 0.6710 0.1273

=====

No. 8
The following is a DFT calculation (PBE) of a relaxed DyErAlCd crystal.

E_tot = -15.28 eV/cell
Relative energy among the computed polymorphs = 0.000 eV per atom
Space group = No. 99
Mass density = 7.96 g cm⁻³
Calculated formation energy = -0.365 eV per atom

Cell: 3.6198 3.6198 7.4695 Å, 90.00 90.00 90.00°
Fractional coordinates of all 4 atoms:
Dy 0.0000 0.0000 0.0000
Er 0.0000 0.0000 0.4771
Al 0.5000 0.5000 0.2414
Cd 0.5000 0.5000 0.7339

=====

No. 9
The following is a DFT calculation (PBE) of a relaxed DyErAlCd crystal.

E_tot = -15.23 eV/cell
Relative energy among the computed polymorphs = 0.014 eV per atom
Space group = No. 216
Mass density = 7.94 g cm⁻³
Calculated formation energy = -0.351 eV per atom

Cell: 5.1768 5.1768 5.1768 Å, 60.00 60.00 60.00°
Fractional coordinates of all 4 atoms:
Dy 0.0000 0.0000 0.0000
Er 0.5000 0.5000 0.5000
Al 0.7500 0.7500 0.7500
Cd 0.2500 0.2500 0.2500

=====

No. 10
The following is a DFT calculation (PBE) of a relaxed EuDyAlCd crystal.

E_tot = -20.69 eV/cell
Space group = No. 216
Mass density = 7.06 g cm⁻³
Calculated formation energy = -0.290 eV per atom

Cell: 5.3247 5.3247 5.3247 Å, 60.00 60.00 60.00°
Fractional coordinates of all 4 atoms:
Eu 0.0000 0.0000 0.0000
Dy 0.5000 0.5000 0.5000
Al 0.7500 0.7500 0.7500
Cd 0.2500 0.2500 0.2500

=====

No. 11
The following is a DFT calculation (PBE) of a relaxed DyHfAlCd crystal.

E_tot = -19.89 eV/cell
Space group = No. 216
Mass density = 9.00 g cm⁻³
Calculated formation energy = -0.168 eV per atom

Cell: 5.0040 5.0040 5.0040 Å, 60.00 60.00 60.00°
Fractional coordinates of all 4 atoms:
Dy 0.0000 0.0000 0.0000
Hf 0.5000 0.5000 0.5000
Al 0.2500 0.2500 0.2500
Cd 0.7500 0.7500 0.7500

=====

No. 12
The following is a DFT calculation (PBE) of a relaxed Dy4AlCdHg2 crystal.

E_tot = -26.85 eV/cell
Space group = No. 166
Mass density = 9.71 g cm⁻³
Calculated formation energy = -0.397 eV per atom

Cell: 9.0784 9.0784 9.0784 Å, 33.55 33.55 33.55°
Fractional coordinates of all 8 atoms:
Dy 0.1222 0.1222 0.1222
Dy 0.3724 0.3724 0.3724
Dy 0.6276 0.6276 0.6276
Dy 0.8778 0.8778 0.8778
Al 0.0000 0.0000 0.0000
Cd 0.5000 0.5000 0.5000
Hg 0.2468 0.2468 0.2468
Hg 0.7532 0.7532 0.7532

=====

No. 13
The following is a DFT calculation (PBE) of a relaxed Dy4AlCd2Hg crystal.

E_tot = -27.29 eV/cell
Space group = No. 166
Mass density = 9.02 g cm⁻³
Calculated formation energy = -0.376 eV per atom

Cell: 9.0794 9.0794 9.0794 Å, 33.50 33.50 33.50°
Fractional coordinates of all 8 atoms:
Dy 0.1238 0.1238 0.1238
Dy 0.3738 0.3738 0.3738
Dy 0.6262 0.6262 0.6262
Dy 0.8762 0.8762 0.8762
Al 0.0000 0.0000 0.0000
Cd 0.2511 0.2511 0.2511
Cd 0.7489 0.7489 0.7489
Hg 0.5000 0.5000 0.5000

=====

No. 14
The following is a DFT calculation (PBE) of a relaxed DyHoAlCd crystal.

E_tot = -15.25 eV/cell
Relative energy among the computed polymorphs = 0.013 eV per atom
Space group = No. 216
Mass density = 7.85 g cm⁻³
Calculated formation energy = -0.353 eV per atom

Cell: 5.1879 5.1879 5.1879 Å, 60.00 60.00 60.00°
Fractional coordinates of all 4 atoms:
Dy 0.0000 0.0000 0.0000
Ho 0.5000 0.5000 0.5000
Al 0.2500 0.2500 0.2500
Cd 0.7500 0.7500 0.7500

=====

No. 15
The following is a DFT calculation (PBE) of a relaxed DyHoAlCd crystal.

E_tot = -15.30 eV/cell
Relative energy among the computed polymorphs = 0.000 eV per atom
Space group = No. 99
Mass density = 7.87 g cm⁻³
Calculated formation energy = -0.366 eV per atom

Cell: 3.6277 3.6277 7.4844 Å, 90.00 90.00 90.00°
Fractional coordinates of all 4 atoms:
Dy 0.0000 0.0000 0.0000
Ho 0.0000 0.0000 0.4773
Al 0.5000 0.5000 0.2401
Cd 0.5000 0.5000 0.7363

=====

No. 16
The following is a DFT calculation (PBE) of a relaxed LaDyAlCd crystal.

E_tot = -15.51 eV/cell
Relative energy among the computed polymorphs = 0.030 eV per atom
Space group = No. 216
Mass density = 6.75 g cm⁻³
Calculated formation energy = -0.331 eV per atom

Cell: 5.3531 5.3531 5.3531 Å, 60.00 60.00 60.00°
Fractional coordinates of all 4 atoms:
La 0.0000 0.0000 0.0000
Dy 0.5000 0.5000 0.5000
Al 0.7500 0.7500 0.7500
Cd 0.2500 0.2500 0.2500

=====

No. 17
The following is a DFT calculation (PBE) of a relaxed LaDyAlCd crystal.

E_tot = -15.63 eV/cell
Relative energy among the computed polymorphs = 0.000 eV per atom
Space group = No. 99
Mass density = 6.85 g cm⁻³
Calculated formation energy = -0.362 eV per atom

Cell: 3.6596 3.6596 7.9754 Å, 90.00 90.00 90.00°
Fractional coordinates of all 4 atoms:
La 0.0000 0.0000 0.0000
Dy 0.0000 0.0000 0.4699
Al 0.5000 0.5000 0.2502
Cd 0.5000 0.5000 0.7095

=====

No. 18
The following is a DFT calculation (PBE) of a relaxed Dy4MgAl2Cd crystal.

E_tot = -30.95 eV/cell
Space group = No. 166
Mass density = 7.02 g cm⁻³
Calculated formation energy = -0.318 eV per atom

Cell: 9.0171 9.0171 9.0171 Å, 33.48 33.48 33.48°
Fractional coordinates of all 8 atoms:
Dy 0.1239 0.1239 0.1239
Dy 0.3740 0.3740 0.3740
Dy 0.6260 0.6260 0.6260
Dy 0.8761 0.8761 0.8761
Mg 0.5000 0.5000 0.5000
Al 0.2475 0.2475 0.2475
Al 0.7525 0.7525 0.7525
Cd 0.0000 0.0000 0.0000

=====

No. 19
The following is a DFT calculation (PBE) of a relaxed DyMgAlCd crystal.

E_tot = -11.88 eV/cell
Space group = No. 216
Mass density = 6.05 g cm⁻³
Calculated formation energy = -0.258 eV per atom

Cell: 5.0203 5.0203 5.0203 Å, 60.00 60.00 60.00°
Fractional coordinates of all 4 atoms:
Dy 0.0000 0.0000 0.0000
Mg 0.5000 0.5000 0.5000
Al 0.7500 0.7500 0.7500
Cd 0.2500 0.2500 0.2500

=====

No. 20
The following is a DFT calculation (PBE) of a relaxed NaDyAlCd crystal.

E_tot = -10.98 eV/cell
Space group = No. 216
Mass density = 5.60 g cm⁻³
Calculated formation energy = -0.101 eV per atom

Cell: 5.1453 5.1453 5.1453 Å, 60.00 60.00 60.00°
Fractional coordinates of all 4 atoms:
Na 0.0000 0.0000 0.0000
Dy 0.5000 0.5000 0.5000
Al 0.2500 0.2500 0.2500
Cd 0.7500 0.7500 0.7500